{"formula": "HgMo2P", "functional": "GGA-PBE", "state": "relaxed", "spacegroup": "Cmmm, No. 65", "polymorph_energy_ev_per_atom": 0.212, "lattice_angstrom": [[1.006, 2.785, 0.480], [-1.007, -0.313, -2.808], [-7.328, 2.238, 2.379]], "species": ["Mo", "Mo", "Hg", "P"], "fractional_positions": [[0.000, 0.000, 0.698], [0.000, 0.000, 0.302], [0.500, 0.500, 0.000], [0.500, 0.500, 0.500]]}

---

{"formula": "HgMo2P", "functional": "GGA-PBE", "state": "relaxed", "spacegroup": "Pmmm, No. 47", "polymorph_energy_ev_per_atom": 0.606, "lattice_angstrom": [[3.278, 0.000, 0.000], [0.000, 4.408, 0.000], [0.000, 0.000, 4.616]], "species": ["Hg", "Mo", "Mo", "P"], "fractional_positions": [[0.000, 0.500, 0.500], [0.000, 0.000, 0.000], [0.500, 0.000, 0.500], [0.500, 0.500, 0.000]]}

---

{"formula": "HgMoP2", "functional": "GGA-PBE", "state": "relaxed", "spacegroup": "Cmmm, No. 65", "polymorph_energy_ev_per_atom": 0.229, "lattice_angstrom": [[-0.401, 1.206, 2.607], [2.556, -1.371, -0.025], [4.501, 8.454, -3.218]], "species": ["P", "P", "Mo", "Hg"], "fractional_positions": [[0.000, 0.000, 0.574], [0.000, 0.000, 0.926], [0.500, 0.500, 0.750], [0.500, 0.500, 0.250]]}

---

{"formula": "HgMo2P", "functional": "GGA-PBE", "state": "relaxed", "spacegroup": "Imm2, No. 44", "polymorph_energy_ev_per_atom": 0.089, "lattice_angstrom": [[3.374, -2.312, 5.878], [-0.579, -4.568, 5.484], [-0.493, 1.752, -6.926]], "species": ["Hg", "Mo", "Mo", "P"], "fractional_positions": [[0.304, 0.804, 0.500], [0.668, 0.168, 0.500], [0.984, 0.984, 0.000], [0.544, 0.544, 0.000]]}

---

{"formula": "HgMoP2", "functional": "GGA-PBE", "state": "relaxed", "spacegroup": "Cm, No. 8", "polymorph_energy_ev_per_atom": 0.000, "lattice_angstrom": [[7.730, 0.064, -0.774], [7.080, 3.102, -0.774], [-0.302, -0.065, 3.091]], "species": ["Hg", "Mo", "P", "P"], "fractional_positions": [[0.551, 0.551, 0.559], [0.316, 0.316, 0.314], [0.905, 0.905, 0.900], [0.728, 0.728, 0.726]]}

---

{"formula": "Hg2MoP", "functional": "GGA-PBE", "state": "relaxed", "spacegroup": "C2/m, No. 12", "polymorph_energy_ev_per_atom": 0.613, "lattice_angstrom": [[-1.579, -3.617, 4.124], [5.333, 1.796, -0.955], [0.287, 1.865, 2.378]], "species": ["Hg", "Hg", "P", "Mo"], "fractional_positions": [[0.000, 0.500, 0.000], [0.500, 0.000, 0.000], [0.500, 0.500, 0.500], [0.000, 0.000, 0.500]]}

---

{"formula": "HgMoP", "functional": "GGA-PBE", "state": "relaxed", "spacegroup": "F-43m, No. 216", "polymorph_energy_ev_per_atom": 0.558, "lattice_angstrom": [[0.000, 3.096, 3.096], [3.096, 0.000, 3.096], [3.096, 3.096, 0.000]], "species": ["Hg", "P", "Mo"], "fractional_positions": [[0.500, 0.500, 0.500], [0.000, 0.000, 0.000], [0.250, 0.250, 0.250]]}

---

{"formula": "HgMoP2", "functional": "GGA-PBE", "state": "relaxed", "spacegroup": "Pm, No. 6", "polymorph_energy_ev_per_atom": 0.300, "lattice_angstrom": [[-3.111, -3.179, -0.787], [1.731, -2.187, 1.989], [-1.456, 0.295, 4.566]], "species": ["Mo", "P", "P", "Hg"], "fractional_positions": [[0.500, 0.925, 0.776], [0.000, 0.812, 0.999], [0.500, 0.223, 0.178], [0.000, 0.541, 0.547]]}

---

{"formula": "Hg2MoP", "functional": "GGA-PBE", "state": "relaxed", "spacegroup": "Cmmm, No. 65", "polymorph_energy_ev_per_atom": 0.658, "lattice_angstrom": [[-1.191, 1.523, 2.202], [-2.198, -1.438, -1.300], [1.327, -7.146, 5.658]], "species": ["P", "Hg", "Hg", "Mo"], "fractional_positions": [[0.500, 0.500, 0.000], [0.000, 0.000, 0.749], [0.000, 0.000, 0.251], [0.500, 0.500, 0.500]]}

---

{"formula": "HgMoP2", "functional": "GGA-PBE", "state": "relaxed", "spacegroup": "I-4m2, No. 119", "polymorph_energy_ev_per_atom": 0.684, "lattice_angstrom": [[-1.953, 5.061, 0.078], [-5.257, 0.991, 0.908], [4.082, -2.882, 2.114]], "species": ["Hg", "P", "P", "Mo"], "fractional_positions": [[0.500, 0.500, 0.000], [0.000, 0.000, 0.000], [0.250, 0.750, 0.500], [0.750, 0.250, 0.500]]}

---

{"formula": "HgMoP3", "functional": "GGA-PBE", "state": "relaxed", "spacegroup": "Pm-3m, No. 221", "polymorph_energy_ev_per_atom": 0.000, "lattice_angstrom": [[-1.717, -1.100, 4.279], [4.411, -0.689, 1.592], [0.252, 4.558, 1.273]], "species": ["P", "P", "P", "Hg", "Mo"], "fractional_positions": [[0.000, 0.500, 0.000], [0.500, 0.000, 0.000], [0.000, 0.000, 0.500], [0.500, 0.500, 0.500], [0.000, 0.000, 0.000]]}

---

{"formula": "HgMoP2", "functional": "GGA-PBE", "state": "relaxed", "spacegroup": "P4mm, No. 99", "polymorph_energy_ev_per_atom": 0.255, "lattice_angstrom": [[-1.704, -2.239, 1.305], [1.939, -0.065, 2.420], [-4.199, 5.242, 3.507]], "species": ["P", "P", "Mo", "Hg"], "fractional_positions": [[0.500, 0.500, 0.147], [0.000, 0.000, 0.980], [0.500, 0.500, 0.826], [0.000, 0.000, 0.548]]}

---

{"formula": "HgMoP4", "functional": "GGA-PBE", "state": "relaxed", "spacegroup": "F-43m, No. 216", "lattice_angstrom": [[0.000, 3.627, 3.627], [3.627, 0.000, 3.627], [3.627, 3.627, 0.000]], "species": ["P", "P", "P", "P", "Hg", "Mo"], "fractional_positions": [[0.371, 0.371, 0.371], [0.371, 0.371, 0.887], [0.887, 0.371, 0.371], [0.371, 0.887, 0.371], [0.750, 0.750, 0.750], [0.000, 0.000, 0.000]]}

---

{"formula": "Hg2MoP", "functional": "GGA-PBE", "state": "relaxed", "spacegroup": "F-43m, No. 216", "polymorph_energy_ev_per_atom": 0.708, "lattice_angstrom": [[0.000, 3.332, 3.332], [3.332, 0.000, 3.332], [3.332, 3.332, 0.000]], "species": ["Hg", "Hg", "P", "Mo"], "fractional_positions": [[0.000, 0.000, 0.000], [0.750, 0.750, 0.750], [0.250, 0.250, 0.250], [0.500, 0.500, 0.500]]}

---

{"formula": "Hg2MoP", "functional": "GGA-PBE", "state": "relaxed", "spacegroup": "Cmmm, No. 65", "polymorph_energy_ev_per_atom": 0.578, "lattice_angstrom": [[-3.037, 4.040, -0.651], [-2.035, -4.277, 1.880], [0.704, 1.028, 3.101]], "species": ["Hg", "Hg", "P", "Mo"], "fractional_positions": [[0.000, 0.500, 0.000], [0.500, 0.000, 0.000], [0.500, 0.500, 0.500], [0.000, 0.000, 0.500]]}

---

{"formula": "Hg2MoP", "functional": "GGA-PBE", "state": "relaxed", "spacegroup": "Fm-3m, No. 225", "polymorph_energy_ev_per_atom": 0.893, "lattice_angstrom": [[-0.768, 1.200, 4.632], [1.824, 4.127, 1.769], [-2.954, 3.684, 1.091]], "species": ["Hg", "Hg", "P", "Mo"], "fractional_positions": [[0.750, 0.750, 0.750], [0.250, 0.250, 0.250], [0.000, 0.000, 0.000], [0.500, 0.500, 0.500]]}

---

{"formula": "HgMo2P", "functional": "GGA-PBE", "state": "relaxed", "spacegroup": "P2/m, No. 10", "polymorph_energy_ev_per_atom": 0.525, "lattice_angstrom": [[2.978, 0.000, 0.000], [0.000, 4.648, 0.020], [0.000, 2.071, 4.796]], "species": ["P", "Mo", "Mo", "Hg"], "fractional_positions": [[0.500, 0.500, 0.000], [0.000, 0.000, 0.000], [0.500, 0.000, 0.500], [0.000, 0.500, 0.500]]}

---

{"formula": "HgMo3P", "functional": "GGA-PBE", "state": "relaxed", "spacegroup": "Pm-3m, No. 221", "polymorph_energy_ev_per_atom": 2.156, "lattice_angstrom": [[5.117, 0.000, 0.000], [0.000, 5.117, 0.000], [0.000, 0.000, 5.117]], "species": ["Mo", "Mo", "Mo", "P", "Hg"], "fractional_positions": [[0.000, 0.500, 0.000], [0.500, 0.000, 0.000], [0.000, 0.000, 0.500], [0.500, 0.500, 0.500], [0.000, 0.000, 0.000]]}

---

{"formula": "HgMoP2", "functional": "GGA-PBE", "state": "relaxed", "spacegroup": "F-43m, No. 216", "polymorph_energy_ev_per_atom": 0.959, "lattice_angstrom": [[4.572, 0.000, 0.000], [2.286, 3.960, 0.000], [2.286, 1.320, 3.733]], "species": ["P", "P", "Mo", "Hg"], "fractional_positions": [[0.000, 0.000, 0.000], [0.250, 0.250, 0.250], [0.750, 0.750, 0.750], [0.500, 0.500, 0.500]]}

---

{"formula": "HgMoP2", "functional": "GGA-PBE", "state": "relaxed", "spacegroup": "Imm2, No. 44", "polymorph_energy_ev_per_atom": 0.144, "lattice_angstrom": [[-3.636, 5.618, -2.797], [-6.660, 2.207, -1.838], [5.013, -2.862, 4.392]], "species": ["Mo", "P", "P", "Hg"], "fractional_positions": [[0.209, 0.709, 0.500], [0.773, 0.273, 0.500], [0.076, 0.076, 0.000], [0.442, 0.442, 0.000]]}

---

{"formula": "HgMoP", "functional": "GGA-PBE", "state": "relaxed", "spacegroup": "P3m1, No. 156", "polymorph_energy_ev_per_atom": 0.042, "lattice_angstrom": [[1.553, -2.690, 0.000], [1.553, 2.690, 0.000], [0.000, 0.000, 6.617]], "species": ["P", "Mo", "Hg"], "fractional_positions": [[0.333, 0.667, 0.615], [0.667, 0.333, 0.375], [0.000, 0.000, 0.009]]}

---

{"formula": "HgMo2P", "functional": "GGA-PBE", "state": "relaxed", "spacegroup": "Cm, No. 8", "polymorph_energy_ev_per_atom": 0.316, "lattice_angstrom": [[1.562, 4.237, 0.023], [-1.562, 4.237, 0.023], [0.000, 1.128, 5.780]], "species": ["P", "Hg", "Mo", "Mo"], "fractional_positions": [[0.529, 0.529, 0.370], [0.733, 0.733, 0.758], [0.980, 0.980, 0.071], [0.259, 0.259, 0.300]]}

---

{"formula": "Hg2MoP", "functional": "GGA-PBE", "state": "relaxed", "spacegroup": "Cmm2, No. 35", "polymorph_energy_ev_per_atom": 0.174, "lattice_angstrom": [[0.111, 2.911, -0.043], [-2.285, -0.945, 1.540], [6.085, -0.099, 8.971]], "species": ["Hg", "Hg", "P", "Mo"], "fractional_positions": [[0.500, 0.500, 0.704], [0.000, 0.000, 0.010], [0.500, 0.500, 0.314], [0.000, 0.000, 0.472]]}

---

{"formula": "HgMoP2", "functional": "GGA-PBE", "state": "relaxed", "spacegroup": "I-42d, No. 122", "polymorph_energy_ev_per_atom": 0.289, "lattice_angstrom": [[-5.731, -0.518, -1.016], [-0.929, -0.899, 5.699], [-3.944, 4.634, 3.084]], "species": ["P", "P", "P", "P", "Hg", "Hg", "Mo", "Mo"], "fractional_positions": [[0.579, 0.125, 0.250], [0.375, 0.421, 0.750], [0.875, 0.829, 0.750], [0.171, 0.625, 0.250], [0.000, 0.000, 0.000], [0.750, 0.250, 0.500], [0.250, 0.750, 0.500], [0.500, 0.500, 0.000]]}

---

{"formula": "Hg4MoP", "functional": "GGA-PBE", "state": "relaxed", "spacegroup": "F-43m, No. 216", "lattice_angstrom": [[0.000, 4.071, 4.071], [4.071, 0.000, 4.071], [4.071, 4.071, 0.000]], "species": ["Hg", "Hg", "Hg", "Hg", "Mo", "P"], "fractional_positions": [[0.375, 0.875, 0.375], [0.875, 0.375, 0.375], [0.375, 0.375, 0.875], [0.375, 0.375, 0.375], [0.750, 0.750, 0.750], [0.000, 0.000, 0.000]]}

---

{"formula": "HgMoP2", "functional": "GGA-PBE", "state": "relaxed", "spacegroup": "I4/mmm, No. 139", "polymorph_energy_ev_per_atom": 0.637, "lattice_angstrom": [[-4.437, -0.615, 1.526], [-2.281, -1.045, -4.012], [3.911, -2.064, 1.683]], "species": ["Mo", "Hg", "P", "P"], "fractional_positions": [[0.750, 0.250, 0.500], [0.250, 0.750, 0.500], [0.500, 0.500, 0.000], [0.000, 0.000, 0.000]]}

---

{"formula": "Hg2MoP", "functional": "GGA-PBE", "state": "relaxed", "spacegroup": "P4/mmm, No. 123", "polymorph_energy_ev_per_atom": 0.601, "lattice_angstrom": [[3.904, 0.000, 0.000], [0.000, 3.904, 0.000], [0.000, 0.000, 4.938]], "species": ["Mo", "P", "Hg", "Hg"], "fractional_positions": [[0.500, 0.500, 0.500], [0.000, 0.000, 0.500], [0.500, 0.000, 0.000], [0.000, 0.500, 0.000]]}

---

{"formula": "HgMo3P", "functional": "GGA-PBE", "state": "relaxed", "spacegroup": "Pm-3m, No. 221", "polymorph_energy_ev_per_atom": 0.000, "lattice_angstrom": [[-0.885, -4.195, 1.334], [3.619, -1.468, -2.216], [2.506, 0.638, 3.671]], "species": ["Hg", "Mo", "Mo", "Mo", "P"], "fractional_positions": [[0.500, 0.500, 0.500], [0.500, 0.000, 0.000], [0.000, 0.500, 0.000], [0.000, 0.000, 0.500], [0.000, 0.000, 0.000]]}

---

{"formula": "Hg2MoP", "functional": "GGA-PBE", "state": "relaxed", "spacegroup": "I4/mmm, No. 139", "polymorph_energy_ev_per_atom": 0.558, "lattice_angstrom": [[4.062, -3.422, 2.161], [-1.176, -4.822, 2.870], [-1.384, 2.713, -4.858]], "species": ["Mo", "Hg", "Hg", "P"], "fractional_positions": [[0.500, 0.500, 0.000], [0.750, 0.250, 0.500], [0.250, 0.750, 0.500], [0.000, 0.000, 0.000]]}

---

{"formula": "HgMoP2", "functional": "GGA-PBE", "state": "relaxed", "spacegroup": "Immm, No. 71", "polymorph_energy_ev_per_atom": 0.381, "lattice_angstrom": [[6.210, 0.015, -0.004], [3.455, 5.160, 0.004], [-4.145, -3.870, 2.529]], "species": ["Hg", "P", "P", "Mo"], "fractional_positions": [[0.750, 0.250, 0.500], [0.074, 0.074, 0.000], [0.426, 0.426, 0.000], [0.250, 0.750, 0.500]]}

---

Short version: ΔH_f (0 K) = 249 642 174 125 -55 705 669 245 750 629 456 200 827 800 670 985 561 2746 904 89 154 352 265 234 954 582 693 589 650 326 meV per atom, in the order given.
Short version: Fermi-level density of states = 3.62 3.71 2.14 3.05 2.24 1.85 2.83 1.34 2.75 2.80 4.84 2.65 4.62 3.33 2.77 1.92 4.83 5.45 4.18 1.71 3.54 3.31 2.11 6.08 1.42 3.81 3.60 7.33 2.86 1.85 states/eV/cell, in the order given.
Short version: E = -26.38 -24.81 -21.25 -26.87 -22.17 -14.03 -14.54 -20.97 -13.85 -19.44 -25.08 -21.15 -27.81 -13.65 -14.17 -12.91 -25.13 -24.48 -18.34 -21.60 -16.08 -25.97 -15.78 -42.04 -11.73 -19.62 -14.07 -35.26 -14.25 -20.65 eV per cell, in the order given.